(1)
# AcPm2Sm8 | Alexandria | PBE | relaxed
# ΔH_f (0 K): 1.463 eV/f.u.
# calculated volume: 797.22 Å³/cell
# D(E_F): 34.876 states/eV per cell
data_AcPm2Sm8
_chemical_formula_sum 'Ac2 Pm4 Sm16'
_cell_length_a 19.6258
_cell_length_b 7.1973
_cell_length_c 5.6557
_cell_angle_alpha 90.00
_cell_angle_beta 93.71
_cell_angle_gamma 90.00
_space_group_name_H-M_alt 'C 1 2/m 1'
_space_group_IT_number 12
_space_group_name_Hall '-C 2y'
loop_
_atom_site_label
_atom_site_type_symbol
_atom_site_fract_x
_atom_site_fract_y
_atom_site_fract_z
Ac1 Ac 0.0000 0.0000 0.0000
Pm1 Pm 0.2147 0.5000 0.2511
Sm1 Sm 0.0447 0.5000 0.2412
Sm2 Sm 0.1338 0.2689 0.7289
Sm3 Sm 0.1895 0.0000 0.2326

---

(2)
# SmPuMgTc | Alexandria | PBE | relaxed
# ΔH_f (0 K): 0.734 eV/f.u.
# calculated volume: 364.87 Å³/cell
# D(E_F): 38.116 states/eV per cell
data_SmPuMgTc
_chemical_formula_sum 'Sm4 Pu4 Mg4 Tc4'
_cell_length_a 7.1457
_cell_length_b 7.1457
_cell_length_c 7.1457
_cell_angle_alpha 90.00
_cell_angle_beta 90.00
_cell_angle_gamma 90.00
_space_group_name_H-M_alt 'F -4 3 m'
_space_group_IT_number 216
_space_group_name_Hall 'F -4 2 3'
loop_
_atom_site_label
_atom_site_type_symbol
_atom_site_fract_x
_atom_site_fract_y
_atom_site_fract_z
Sm1 Sm 0.0000 0.0000 0.0000
Pu1 Pu 0.0000 0.0000 0.5000
Mg1 Mg 0.2500 0.2500 0.7500
Tc1 Tc 0.2500 0.2500 0.2500

---

(3)
# NiSn2Pd | Alexandria | PBE | relaxed
# ΔH_f (0 K): -0.660 eV/f.u.
# calculated volume: 71.38 Å³/cell
# D(E_F): 2.280 states/eV per cell
data_NiSn2Pd
_chemical_formula_sum 'Ni1 Sn2 Pd1'
_cell_length_a 3.2732
_cell_length_b 3.2732
_cell_length_c 6.6621
_cell_angle_alpha 90.00
_cell_angle_beta 90.00
_cell_angle_gamma 90.00
_space_group_name_H-M_alt 'P 4/m m m'
_space_group_IT_number 123
_space_group_name_Hall '-P 4 2'
loop_
_atom_site_label
_atom_site_type_symbol
_atom_site_fract_x
_atom_site_fract_y
_atom_site_fract_z
Ni1 Ni 0.0000 0.0000 0.0000
Sn1 Sn 0.5000 0.5000 0.2363
Pd1 Pd 0.0000 0.0000 0.5000

---

(4)
# Tm3UFe8 | Alexandria | PBE | relaxed
# ΔH_f (0 K): -1.198 eV/f.u.
# calculated volume: 554.17 Å³/cell
# D(E_F): 47.450 states/eV per cell
data_Tm3UFe8
_chemical_formula_sum 'Tm9 U3 Fe24'
_cell_length_a 5.0928
_cell_length_b 5.0928
_cell_length_c 24.6716
_cell_angle_alpha 90.00
_cell_angle_beta 90.00
_cell_angle_gamma 120.00
_space_group_name_H-M_alt 'R 3 m'
_space_group_IT_number 160
_space_group_name_Hall 'R 3 -2"'
loop_
_atom_site_label
_atom_site_type_symbol
_atom_site_fract_x
_atom_site_fract_y
_atom_site_fract_z
Tm1 Tm 0.0000 0.0000 0.0000
Tm2 Tm 0.0000 0.0000 0.1254
Tm3 Tm 0.0000 0.0000 0.6249
U1 U 0.0000 0.0000 0.4975
Fe1 Fe 0.0000 0.0000 0.3129
Fe2 Fe 0.0000 0.0000 0.8130
Fe3 Fe 0.0007 0.5003 0.0635
Fe4 Fe 0.1670 0.3340 0.8954

---

(5)
# Si2OsPb | Alexandria | PBE | relaxed
# electronic total energy: -5.808 eV/atom
# calculated volume: 148.93 Å³/cell
# D(E_F): 5.970 states/eV per cell
data_Si2OsPb
_chemical_formula_sum 'Si4 Os2 Pb2'
_cell_length_a 3.1947
_cell_length_b 5.0503
_cell_length_c 9.2306
_cell_angle_alpha 90.00
_cell_angle_beta 90.00
_cell_angle_gamma 90.00
_space_group_name_H-M_alt 'C m m 2'
_space_group_IT_number 35
_space_group_name_Hall 'C 2 -2'
loop_
_atom_site_label
_atom_site_type_symbol
_atom_site_fract_x
_atom_site_fract_y
_atom_site_fract_z
Si1 Si 0.0000 0.0000 0.0000
Si2 Si 0.0000 0.5000 0.2083
Os1 Os 0.0000 0.5000 0.8136
Pb1 Pb 0.0000 0.0000 0.5288

---

(6)
# SrTcSb2 | Alexandria | PBE | relaxed
# electronic total energy: -5.055 eV/atom
# calculated volume: 366.72 Å³/cell
# D(E_F): 9.006 states/eV per cell
data_SrTcSb2
_chemical_formula_sum 'Sr4 Tc4 Sb8'
_cell_length_a 7.1578
_cell_length_b 7.1578
_cell_length_c 7.1578
_cell_angle_alpha 90.00
_cell_angle_beta 90.00
_cell_angle_gamma 90.00
_space_group_name_H-M_alt 'F m -3 m'
_space_group_IT_number 225
_space_group_name_Hall '-F 4 2 3'
loop_
_atom_site_label
_atom_site_type_symbol
_atom_site_fract_x
_atom_site_fract_y
_atom_site_fract_z
Sr1 Sr 0.0000 0.0000 0.0000
Tc1 Tc 0.0000 0.0000 0.5000
Sb1 Sb 0.2500 0.2500 0.2500

---

(7)
# BeOsWCl2 | Alexandria | PBE | relaxed
# electronic total energy: -4.667 eV/atom
# calculated volume: 107.49 Å³/cell
# D(E_F): 6.754 states/eV per cell
data_BeOsWCl2
_chemical_formula_sum 'Be1 Os1 W1 Cl2'
_cell_length_a 4.6358
_cell_length_b 4.6358
_cell_length_c 5.0017
_cell_angle_alpha 90.00
_cell_angle_beta 90.00
_cell_angle_gamma 90.00
_space_group_name_H-M_alt 'P 4/m m m'
_space_group_IT_number 123
_space_group_name_Hall '-P 4 2'
loop_
_atom_site_label
_atom_site_type_symbol
_atom_site_fract_x
_atom_site_fract_y
_atom_site_fract_z
Be1 Be 0.0000 0.0000 0.0000
Os1 Os 0.5000 0.5000 0.5000
W1 W 0.5000 0.5000 0.0000
Cl1 Cl 0.0000 0.5000 0.5000

---

(8)
# SrRh3 | Alexandria | PBE | relaxed
# ΔH_f (0 K): 0.818 eV/f.u.
# calculated volume: 73.03 Å³/cell
# D(E_F): 4.337 states/eV per cell
data_SrRh3
_chemical_formula_sum 'Sr1 Rh3'
_cell_length_a 3.0646
_cell_length_b 3.0646
_cell_length_c 7.7758
_cell_angle_alpha 90.00
_cell_angle_beta 90.00
_cell_angle_gamma 90.00
_space_group_name_H-M_alt 'P 4/m m m'
_space_group_IT_number 123
_space_group_name_Hall '-P 4 2'
loop_
_atom_site_label
_atom_site_type_symbol
_atom_site_fract_x
_atom_site_fract_y
_atom_site_fract_z
Sr1 Sr 0.0000 0.0000 0.0000
Rh1 Rh 0.0000 0.0000 0.5000
Rh2 Rh 0.5000 0.5000 0.3009

---

Which of these has the lowest calculated volume?
NiSn2Pd

---

What did the third record say?
# NiSn2Pd | Alexandria | PBE | relaxed
# ΔH_f (0 K): -0.660 eV/f.u.
# calculated volume: 71.38 Å³/cell
# D(E_F): 2.280 states/eV per cell
data_NiSn2Pd
_chemical_formula_sum 'Ni1 Sn2 Pd1'
_cell_length_a 3.2732
_cell_length_b 3.2732
_cell_length_c 6.6621
_cell_angle_alpha 90.00
_cell_angle_beta 90.00
_cell_angle_gamma 90.00
_space_group_name_H-M_alt 'P 4/m m m'
_space_group_IT_number 123
_space_group_name_Hall '-P 4 2'
loop_
_atom_site_label
_atom_site_type_symbol
_atom_site_fract_x
_atom_site_fract_y
_atom_site_fract_z
Ni1 Ni 0.0000 0.0000 0.0000
Sn1 Sn 0.5000 0.5000 0.2363
Pd1 Pd 0.0000 0.0000 0.5000

---

Which value of calculated volume does entry 1 give?
797.22 Å³/cell